1.
Density functional theory data (PBE) for KTa2AgBr after structural relaxation.

Computed properties:
DFT total energy: -4.27 eV per atom

Unit cell a=5.0768 b=6.9578 c=5.0768 alpha=90.00 beta=90.00 gamma=90.00
Closest atoms and distances in Å follow each position.
Positions (direct):
K 0.5000 0.5000 0.5000  4 Br 3.59
Br 0.0000 0.5000 0.0000  2 Ag 3.48, 4 K 3.59
Ag 0.0000 0.0000 0.0000  4 Ta 2.54
Ta 0.0000 0.0000 0.5000  2 Ag 2.54
Ta 0.5000 0.0000 0.0000  2 Ag 2.54

2.
Density functional theory data (PBE) for ScTiN2 after structural relaxation.

Computed properties:
DFT total energy: -8.49 eV per atom

Unit cell a=3.8420 b=3.8420 c=3.8420 alpha=60.00 beta=60.00 gamma=60.00
Closest atoms and distances in Å follow each position.
Positions (direct):
Sc 0.0000 0.0000 0.0000  8 N 2.35
N 0.2500 0.2500 0.2500  4 Ti 2.35, 4 Sc 2.35
N 0.7500 0.7500 0.7500  4 Ti 2.35, 4 Sc 2.35
Ti 0.5000 0.5000 0.5000  8 N 2.35

Number 1: total magnetization 1.0001 μB/atom, E_form (uncorrected) 1599 meV/atom. Number 2: total magnetization 0.2053 μB/atom, E_form (uncorrected) -767 meV/atom.